(1)
Density functional theory data (GGA-PBEsol) for crystalline LiTcPb3 at its relaxed geometry.

Geometry as extended XYZ:
```
5
Lattice="5.302 0.000 0.000 0.000 5.302 0.000 0.000 0.000 5.302" Properties=species:S:1:pos:R:3 pbc="T T T"
Pb 0.000 2.651 0.000
Pb 2.651 0.000 0.000
Tc 0.000 0.000 0.000
Pb 0.000 0.000 2.651
Li 2.651 2.651 2.651
```

Properties
E_form ... 0.4111 eV per atom
Magnetic moment ... 0.0 μB per cell

(2)
Density functional theory data (GGA-PBEsol) for crystalline NaPdC2 at its relaxed geometry.

Geometry as extended XYZ:
```
4
Lattice="-1.809 1.180 -3.195 0.730 -1.717 -3.375 -2.674 -2.242 -1.641" Properties=species:S:1:pos:R:3 pbc="T T T"
Pd -1.876 -1.389 -4.105
C -2.814 -2.084 -6.158
C -0.938 -0.695 -2.053
Na 0.000 0.000 0.000
```

Properties
E_form ... 1.7619 eV per atom
Magnetic moment ... 0.0 μB per cell

(3)
Density functional theory data (GGA-PBEsol) for crystalline Mn7Re6 at its relaxed geometry.

Geometry as extended XYZ:
```
13
Lattice="-1.571 4.217 1.049 -2.040 0.758 4.077 6.391 3.635 5.141" Properties=species:S:1:pos:R:3 pbc="T T T"
Re -2.375 3.326 3.432
Re -0.155 5.875 6.687
Mn -0.747 3.403 5.562
Mn 0.289 3.018 3.492
Re -2.506 5.263 5.625
Mn 1.390 4.305 5.133
Mn 3.288 3.452 6.242
Mn -0.509 5.159 4.025
Mn 3.526 5.207 4.705
Re 5.286 3.347 4.642
Re 2.934 2.735 3.579
Re 5.154 5.284 6.835
Mn 2.490 5.592 6.774
```

Properties
E_form ... -0.1274 eV per atom
Magnetic moment ... 0.0 μB per cell

(4)
Density functional theory data (GGA-PBEsol) for crystalline ZnRu2Rh at its relaxed geometry.

Geometry as extended XYZ:
```
4
Lattice="2.642 -0.005 0.000 -1.268 2.318 0.000 0.000 0.000 8.891" Properties=species:S:1:pos:R:3 pbc="T T T"
Zn 0.687 1.157 4.446
Ru 0.000 0.000 6.647
Ru 0.000 0.000 2.245
Rh 0.687 1.157 0.000
```

Properties
E_form ... 0.3054 eV per atom
Magnetic moment ... 0.0 μB per cell

(5)
Density functional theory data (GGA-PBEsol) for crystalline CaYW at its relaxed geometry.

Geometry as extended XYZ:
```
3
Lattice="3.037 0.000 0.000 0.000 3.037 0.000 -1.519 -1.519 7.848" Properties=species:S:1:pos:R:3 pbc="T T T"
Y 0.000 0.000 4.854
Ca 0.000 0.000 0.322
W 1.519 1.519 2.673
```

Properties
E_form ... 0.7114 eV per atom
Magnetic moment ... 0.0 μB per cell

(6)
Density functional theory data (GGA-PBEsol) for crystalline IrPt3 at its relaxed geometry.

Geometry as extended XYZ:
```
4
Lattice="-2.271 -1.364 -0.776 -0.146 -2.738 0.328 -4.290 -0.207 8.002" Properties=species:S:1:pos:R:3 pbc="T T T"
Ir 0.000 0.000 0.000
Pt -1.659 -1.083 1.848
Pt -5.047 -3.225 5.705
Pt -3.353 -2.154 3.776
```

Properties
E_form ... 0.0380 eV per atom
Magnetic moment ... 0.0 μB per cell

(7)
Density functional theory data (GGA-PBEsol) for crystalline SbRhAu2 at its relaxed geometry.

Geometry as extended XYZ:
```
4
Lattice="3.467 0.000 0.000 0.000 4.655 0.087 0.000 -1.624 4.363" Properties=species:S:1:pos:R:3 pbc="T T T"
Rh 1.733 0.000 0.000
Au 0.000 2.327 0.043
Sb 1.733 1.515 2.225
Au 0.000 -0.812 2.181
```

Properties
Raw formation energy ... 0.08 eV per atom
Magnetic moment ... 0.0 μB per cell

(8)
Density functional theory data (GGA-PBEsol) for crystalline MgPb2WO6 at its relaxed geometry.

Geometry as extended XYZ:
```
40
Lattice="5.701 0.000 0.000 0.000 7.922 0.000 0.000 0.000 11.434" Properties=species:S:1:pos:R:3 pbc="T T T"
Mg 4.295 1.981 4.322
Pb 1.643 7.877 4.056
O 5.491 5.942 2.837
O 2.940 5.942 5.701
O 1.541 3.889 7.253
O 0.011 1.981 5.832
W 1.390 1.981 7.037
Pb 4.057 3.916 7.378
Mg 1.445 5.942 1.395
O 5.611 5.942 11.418
Pb 4.493 3.916 1.661
O 4.392 7.850 9.898
Mg 4.256 1.981 10.039
O 4.159 4.033 4.181
O 5.690 5.942 5.602
O 1.541 0.072 7.253
Pb 1.207 4.006 9.773
O 2.641 1.981 2.880
O 0.134 5.942 8.741
O 3.060 5.942 8.554
W 4.240 5.942 10.114
O 1.309 0.072 1.536
O 5.567 1.981 2.693
O 4.392 4.033 9.898
O 0.089 1.981 0.016
Pb 4.493 0.045 1.661
O 1.309 3.889 1.536
O 4.159 7.850 4.181
W 1.460 1.981 1.320
O 2.717 5.942 3.024
W 4.311 5.942 4.397
Pb 1.207 7.877 9.773
O 2.761 1.981 5.733
Pb 1.643 4.006 4.056
Mg 1.406 5.942 7.112
Pb 4.057 0.045 7.378
O 2.984 1.981 8.410
O 2.840 1.981 0.115
O 2.861 5.942 11.319
O 0.209 1.981 8.597
```

Properties
Raw formation energy ... -1.92 eV per atom
Magnetic moment ... 0.0 μB per cell

(9)
Density functional theory data (GGA-PBEsol) for crystalline YRe4Si2 at its relaxed geometry.

Geometry as extended XYZ:
```
14
Lattice="-1.623 -0.267 3.752 6.729 0.189 2.925 -0.364 7.321 0.364" Properties=species:S:1:pos:R:3 pbc="T T T"
Si 3.700 5.190 4.207
Y 3.183 3.755 1.644
Re 5.858 4.982 2.889
Y -0.812 -0.133 1.876
Re 4.092 6.758 2.251
Si 1.117 5.832 0.898
Si 1.042 2.053 2.833
Re 0.029 4.244 2.551
Si 5.248 1.678 2.390
Re 0.507 2.528 0.399
Re 2.273 0.752 1.037
Re 4.712 2.999 4.489
Re 3.127 1.129 3.670
Re 1.615 6.114 3.370
```

Properties
Raw formation energy ... -0.51 eV per atom
Magnetic moment ... 0.0 μB per cell

(10)
Density functional theory data (GGA-PBEsol) for crystalline Y3Ge at its relaxed geometry.

Geometry as extended XYZ:
```
4
Lattice="-2.625 2.708 -2.389 -0.730 -3.291 -2.928 -2.305 -1.207 5.336" Properties=species:S:1:pos:R:3 pbc="T T T"
Y -2.356 -2.395 -0.125
Y -1.678 -0.292 -2.658
Ge 0.000 0.000 0.000
Y -3.304 0.605 0.144
```

Properties
E_form ... -0.3385 eV per atom
Magnetic moment ... 0.0 μB per cell

(11)
Density functional theory data (GGA-PBEsol) for crystalline TiIrO2 at its relaxed geometry.

Geometry as extended XYZ:
```
4
Lattice="-1.431 3.570 0.252 -2.842 1.108 -2.356 -3.550 0.559 1.393" Properties=species:S:1:pos:R:3 pbc="T T T"
Ir -3.912 2.618 -0.355
O -5.868 3.928 -0.533
O -1.956 1.309 -0.178
Ti 0.000 0.000 0.000
```

Properties
Raw formation energy ... -0.52 eV per atom
Magnetic moment ... 0.0 μB per cell

(12)
Density functional theory data (GGA-PBEsol) for crystalline Pt2PbBr at its relaxed geometry.

Geometry as extended XYZ:
```
4
Lattice="-1.030 3.238 -1.393 -2.659 0.149 -2.528 -6.022 1.791 3.773" Properties=species:S:1:pos:R:3 pbc="T T T"
Br 0.000 0.000 0.000
Pt -7.255 3.879 -0.141
Pt -2.456 1.298 -0.007
Pb -4.856 2.589 -0.074
```

Properties
Raw formation energy ... 0.28 eV per atom
Magnetic moment ... 0.0 μB per cell